[1]
Density functional theory data (PBE-GGA) for InAuC after structural relaxation.

a b c (Å): 3.684 3.773 9.668
angles (deg): 100.26 100.14 94.45
Space group P1 (No. 1)
Unique sites:
In: 0.000 0.000 0.000 x1
In: 0.316 0.818 0.632 x1
Au: 0.742 0.244 0.483 x1
Au: 0.891 0.392 0.781 x1
C: 0.568 0.068 0.134 x1
C: 0.635 0.136 0.269 x1

The volume is 21.56 Å³/atom.

---

[2]
Density functional theory data (PBE-GGA) for InAu3C after structural relaxation.

a b c (Å): 5.232 5.232 5.232
angles (deg): 90.00 90.00 90.00
Space group Pm-3m (No. 221)
Unique sites:
In: 0.000 0.000 0.000 x1
Au: 0.000 0.000 0.500 x3
C: 0.500 0.500 0.500 x1

The volume is 28.64 Å³/atom.

---

[3]
Density functional theory data (PBE-GGA) for InAuC after structural relaxation.

a b c (Å): 4.041 6.802 8.318
angles (deg): 90.00 90.00 90.00
Space group Cmcm (No. 63)
Unique sites:
In: 0.000 0.108 0.250 x4
Au: 0.000 0.500 0.000 x4
C: 0.000 0.436 0.250 x4

The volume is 19.05 Å³/atom.

---

[4]
Density functional theory data (PBE-GGA) for InAu2C after structural relaxation.

a b c (Å): 6.500 6.500 6.500
angles (deg): 90.00 90.00 90.00
Space group Fm-3m (No. 225)
Unique sites:
In: 0.000 0.000 0.000 x4
Au: 0.250 0.250 0.250 x8
C: 0.000 0.000 0.500 x4

The volume is 17.16 Å³/atom.

---

[5]
Density functional theory data (PBE-GGA) for InAuC after structural relaxation.

a b c (Å): 4.894 4.899 6.441
angles (deg): 79.10 79.42 64.71
Space group P1 (No. 1)
Unique sites:
In: 0.000 0.000 0.000 x1
In: 0.363 0.365 0.823 x1
Au: 0.685 0.686 0.894 x1
Au: 0.871 0.869 0.439 x1
C: 0.253 0.490 0.438 x1
C: 0.492 0.251 0.438 x1

The volume is 22.70 Å³/atom.

---

[6]
Density functional theory data (PBE-GGA) for InAuC after structural relaxation.

a b c (Å): 8.934 3.679 6.250
angles (deg): 90.00 90.00 90.00
Space group Pnma (No. 62)
Unique sites:
In: 0.008 0.250 0.222 x4
Au: 0.198 0.250 0.595 x4
C: 0.185 0.250 0.951 x4

The volume is 17.12 Å³/atom.

---

[7]
Density functional theory data (PBE-GGA) for InAuC after structural relaxation.

a b c (Å): 4.8031 4.8031 8.3003
angles (deg): 90.00 90.00 120.00
Space group P6_3/mmc (No. 194)
Unique sites:
In: 0.0000 0.0000 0.2500 x2
Au: 0.3333 0.6667 0.2500 x2
C: 0.0000 0.0000 0.0000 x2

The volume is 27.64 Å³/atom.

---

[8]
Density functional theory data (PBE-GGA) for InAuC after structural relaxation.

a b c (Å): 3.495 3.939 9.347
angles (deg): 101.67 100.62 90.17
Space group P1 (No. 1)
Unique sites:
In: 0.000 0.000 0.000 x1
In: 0.319 0.826 0.638 x1
Au: 0.687 0.703 0.383 x1
Au: 0.895 0.394 0.781 x1
C: 0.579 0.079 0.158 x1
C: 0.648 0.165 0.302 x1

The volume is 20.62 Å³/atom.

---

[9]
Density functional theory data (PBE-GGA) for InAuC after structural relaxation.

a b c (Å): 3.8406 3.8406 8.3412
angles (deg): 90.00 90.00 120.00
Space group P6_3/mmc (No. 194)
Unique sites:
In: 0.3333 0.6667 0.2500 x2
Au: 0.0000 0.0000 0.0000 x2
C: 0.3333 0.6667 0.7500 x2

The volume is 17.76 Å³/atom.

---

[10]
Density functional theory data (PBE-GGA) for InAu2C after structural relaxation.

a b c (Å): 5.324 5.324 11.987
angles (deg): 90.00 90.00 90.00
Space group I-42d (No. 122)
Unique sites:
In: 0.000 0.000 0.000 x4
Au: 0.121 0.250 0.625 x8
C: 0.000 0.000 0.500 x4

The volume is 21.24 Å³/atom.

---

[11]
Density functional theory data (PBE-GGA) for InAuC after structural relaxation.

a b c (Å): 4.805 4.827 6.230
angles (deg): 72.46 86.58 70.56
Space group P1 (No. 1)
Unique sites:
In: 0.000 0.000 0.000 x1
In: 0.200 0.373 0.422 x1
Au: 0.390 0.306 0.997 x1
Au: 0.638 0.645 0.190 x1
C: 0.168 0.925 0.644 x1
C: 0.217 0.639 0.668 x1

The volume is 21.63 Å³/atom.

---

[12]
Density functional theory data (PBE-GGA) for InAuC after structural relaxation.

a b c (Å): 3.670 4.617 8.039
angles (deg): 88.14 82.18 73.13
Space group P1 (No. 1)
Unique sites:
In: 0.000 0.000 0.000 x1
In: 0.121 0.332 0.445 x1
Au: 0.325 0.426 0.120 x1
Au: 0.681 0.575 0.823 x1
C: 0.706 0.065 0.542 x1
C: 0.771 0.797 0.600 x1

The volume is 21.52 Å³/atom.

---

[13]
Density functional theory data (PBE-GGA) for InAu3C after structural relaxation.

a b c (Å): 4.479 4.479 4.479
angles (deg): 90.00 90.00 90.00
Space group Pm-3m (No. 221)
Unique sites:
In: 0.000 0.000 0.000 x1
Au: 0.000 0.500 0.500 x3
C: 0.500 0.500 0.500 x1

The volume is 17.97 Å³/atom.

---

[14]
Density functional theory data (PBE-GGA) for In3AuC after structural relaxation.

a b c (Å): 4.730 4.730 4.730
angles (deg): 90.00 90.00 90.00
Space group Pm-3m (No. 221)
Unique sites:
In: 0.000 0.000 0.500 x3
Au: 0.500 0.500 0.500 x1
C: 0.000 0.000 0.000 x1

The volume is 21.16 Å³/atom.

---

The records above give, respectively, magnetic moment values of 0.0, 1.7, 0.0, 0.7, 0.0, 0.0, 1.1, 0.0, 0.0, 0.0, 0.0, 0.0, 0.0, 0.0 μB/f.u..
The records above give, respectively, formation enthalpy at 0 K values of 0.4650, 1.9466, 0.7570, 1.3012, 0.4485, 1.1427, 1.8478, 0.5551, 1.3382, 0.7514, 0.5702, 0.5336, 0.6259, 0.7089 eV/atom.